VASP calculation (PBE-GGA) on an optimized crystal structure of LaZn5PdPt2.

Geometry as CIF:
```
data_LaZn5PdPt2
_symmetry_space_group_name_H-M 'P 4/m m m'
_symmetry_Int_Tables_number 123
_symmetry_space_group_name_Hall '-P 4 2'
_cell_length_a 4.8701
_cell_length_b 4.8701
_cell_length_c 7.4573
_cell_angle_alpha 90.00
_cell_angle_beta 90.00
_cell_angle_gamma 90.00
loop_
_atom_site_label
_atom_site_type_symbol
_atom_site_fract_x
_atom_site_fract_y
_atom_site_fract_z
_atom_site_occupancy
La1 La 0.0000 0.0000 0.0000 1
Zn1 Zn 0.0000 0.5000 0.3186 1
Zn2 Zn 0.5000 0.5000 0.0000 1
Pd1 Pd 0.0000 0.0000 0.5000 1
Pt1 Pt 0.5000 0.5000 0.3183 1
```

Summary:
calculated formation energy = -2.907 eV per formula unit


VASP calculation (PBE-GGA) on an optimized crystal structure of La2Zn4PdPt3.

Geometry as CIF:
```
data_La2Zn4PdPt3
_symmetry_space_group_name_H-M 'P -4 m 2'
_symmetry_Int_Tables_number 115
_symmetry_space_group_name_Hall 'P -4 -2'
_cell_length_a 4.2668
_cell_length_b 4.2668
_cell_length_c 10.8027
_cell_angle_alpha 90.00
_cell_angle_beta 90.00
_cell_angle_gamma 90.00
loop_
_atom_site_label
_atom_site_type_symbol
_atom_site_fract_x
_atom_site_fract_y
_atom_site_fract_z
_atom_site_occupancy
La1 La 0.0000 0.5000 0.2470 1
Zn1 Zn 0.0000 0.0000 0.5000 1
Zn2 Zn 0.0000 0.5000 0.8712 1
Zn3 Zn 0.5000 0.5000 0.5000 1
Pd1 Pd 0.5000 0.5000 0.0000 1
Pt1 Pt 0.0000 0.0000 0.0000 1
Pt2 Pt 0.0000 0.5000 0.6385 1
```

Summary:
calculated formation energy = -7.758 eV per formula unit


VASP calculation (PBE-GGA) on an optimized crystal structure of La2Zn2Pd5Pt.

Geometry as CIF:
```
data_La2Zn2Pd5Pt
_symmetry_space_group_name_H-M 'P 4/m b m'
_symmetry_Int_Tables_number 127
_symmetry_space_group_name_Hall '-P 4 2ab'
_cell_length_a 9.6859
_cell_length_b 9.6859
_cell_length_c 3.9487
_cell_angle_alpha 90.00
_cell_angle_beta 90.00
_cell_angle_gamma 90.00
loop_
_atom_site_label
_atom_site_type_symbol
_atom_site_fract_x
_atom_site_fract_y
_atom_site_fract_z
_atom_site_occupancy
La1 La 0.1852 0.3148 0.0000 1
Zn1 Zn 0.1126 0.6126 0.0000 1
Pd1 Pd 0.0000 0.5000 0.5000 1
Pd2 Pd 0.0627 0.7936 0.5000 1
Pt1 Pt 0.0000 0.0000 0.0000 1
```

Summary:
calculated formation energy = -6.297 eV per formula unit


Total DFT energy (no corrections) list, top to bottom, in eV/atom: -3.4976; -4.6024; -5.0705